CaAlAu2 | Alexandria | GGA-PBEsol | relaxed; space group = No. 25; total magnetic moment = 0.000 μB per formula unit; energy = -0.14941 Ha/atom
1.0
3.577 0.000 0.000
0.000 4.694 0.000
0.000 0.000 5.086
Ca Al Au
1 1 2
direct
0.000 0.000 0.000 Ca
0.500 0.500 0.673 Al
0.500 0.000 0.494 Au
0.500 0.500 0.167 Au